[1]
Material: GdDy2Os
Method: DFT, PBE
State: relaxed

Calculated formation energy: 0.26 eV per atom
VASP energy: -100.421 eV/cell

Cell: 3.4470 3.4470 32.4052 Å, 90.00 90.00 120.00°
With the nearest neighbours (Å) after each atom.
Space group R-3m (No. 166, hexagonal axes)
Unique sites:
Gd1 0.0000 0.0000 0.0000 x3  2 Dy 3.40, 6 Gd 3.45
Dy1 0.0000 0.0000 0.1050 x6  3 Os 2.82
Os1 0.0000 0.0000 0.5000 x3  6 Dy 2.82


[2]
Material: GdDyOs
Method: DFT, PBE
State: relaxed

Calculated formation energy: -0.21 eV per atom
VASP energy: -61.059 eV/cell

Cell: 3.4042 3.4042 13.3036 Å, 90.00 90.00 90.00°
With the nearest neighbours (Å) after each atom.
Space group I4mm (No. 107)
Unique sites:
Gd1 0.0000 0.0000 0.0000 x2  4 Os 2.94
Dy1 0.0000 0.0000 0.2506 x2  4 Os 2.91
Os1 0.0000 0.0000 0.6271 x2  4 Dy 2.91, 4 Gd 2.94


[3]
Material: Gd2DyOs
Method: DFT, PBE
State: relaxed

Calculated formation energy: 0.29 eV per atom
VASP energy: -128.495 eV/cell

Cell: 3.4832 3.4832 32.3478 Å, 90.00 90.00 120.00°
With the nearest neighbours (Å) after each atom.
Space group R-3m (No. 166, hexagonal axes)
Unique sites:
Gd1 0.0000 0.0000 0.1050 x6  3 Os 2.83
Dy1 0.0000 0.0000 0.0000 x3  2 Gd 3.40, 6 Dy 3.48
Os1 0.0000 0.0000 0.5000 x3  6 Gd 2.83


[4]
Material: GdDyOsPd
Method: DFT, PBE
State: relaxed

Calculated formation energy: -0.50 eV per atom
VASP energy: -148.486 eV/cell

Cell: 6.9278 6.9278 6.9278 Å, 90.00 90.00 90.00°
With the nearest neighbours (Å) after each atom.
Space group F-43m (No. 216)
Unique sites:
Gd1 0.0000 0.0000 0.0000 x4  4 Pd 3.00, 4 Os 3.00
Dy1 0.0000 0.0000 0.5000 x4  4 Os 3.00, 4 Pd 3.00
Os1 0.2500 0.2500 0.2500 x4  4 Gd 3.00, 4 Dy 3.00
Pd1 0.2500 0.2500 0.7500 x4  4 Gd 3.00, 4 Dy 3.00


[5]
Material: GdDyP2
Method: DFT, PBE
State: relaxed

Calculated formation energy: -1.61 eV per atom
VASP energy: -107.777 eV/cell

Cell: 4.0313 4.0313 19.7351 Å, 90.00 90.00 120.00°
With the nearest neighbours (Å) after each atom.
Space group R-3m (No. 166, hexagonal axes)
Unique sites:
Gd1 0.0000 0.0000 0.0000 x3  6 P 2.86
Dy1 0.0000 0.0000 0.5000 x3  6 P 2.84
P1 0.0000 0.0000 0.2493 x6  3 Dy 2.84, 3 Gd 2.86


[6]
Material: GdDyPa
Method: DFT, PBE
State: relaxed

Calculated formation energy: 0.13 eV per atom
VASP energy: -27.804 eV/cell

Cell: 3.4268 3.4268 8.5547 Å, 90.00 90.00 120.00°
With the nearest neighbours (Å) after each atom.
Space group P3m1 (No. 156)
Unique sites:
Gd1 0.0000 0.0000 0.0000 x1  3 Pa 3.36, 6 Gd 3.43, 3 Dy 3.69
Dy1 0.3333 0.6667 0.6361 x1  3 Pa 3.36, 6 Dy 3.43, 3 Gd 3.69
Pa1 0.6667 0.3333 0.3181 x1  3 Dy 3.36, 3 Gd 3.36, 6 Pa 3.43


[7]
Material: GdDy2Pa
Method: DFT, PBE
State: relaxed

Calculated formation energy: 0.13 eV per atom
VASP energy: -32.278 eV/cell

Cell: 3.4103 3.4103 10.2312 Å, 90.00 90.00 90.00°
With the nearest neighbours (Å) after each atom.
Space group P4/mmm (No. 123)
Unique sites:
Gd1 0.0000 0.0000 0.0000 x1  4 Gd 3.41, 8 Dy 3.66
Dy1 0.5000 0.5000 0.2689 x2  4 Pa 3.38, 4 Dy 3.41, 4 Gd 3.66
Pa1 0.0000 0.0000 0.5000 x1  8 Dy 3.38, 4 Pa 3.41


[8]
Material: GdDy2Pa
Method: DFT, PBE
State: relaxed

Calculated formation energy: 0.29 eV per atom
VASP energy: -94.864 eV/cell

Cell: 3.3311 3.3311 36.7153 Å, 90.00 90.00 120.00°
With the nearest neighbours (Å) after each atom.
Space group R-3m (No. 166, hexagonal axes)
Unique sites:
Gd1 0.0000 0.0000 0.0000 x3  6 Gd 3.33, 6 Dy 3.50
Dy1 0.0000 0.0000 0.4129 x6  1 Pa 3.20, 6 Dy 3.33, 3 Gd 3.50
Pa1 0.0000 0.0000 0.5000 x3  2 Dy 3.20, 6 Pa 3.33


[9]
Material: GdDyPa
Method: DFT, PBE
State: relaxed

Calculated formation energy: 0.15 eV per atom
VASP energy: -55.475 eV/cell

Cell: 3.4025 3.4025 15.1542 Å, 90.00 90.00 90.00°
With the nearest neighbours (Å) after each atom.
Space group I4mm (No. 107)
Unique sites:
Gd1 0.0000 0.0000 0.0000 x2  4 Pa 3.37, 4 Gd 3.40, 4 Dy 3.74
Dy1 0.0000 0.0000 0.3111 x2  4 Pa 3.37, 4 Dy 3.40, 4 Gd 3.74
Pa1 0.0000 0.0000 0.6556 x2  4 Dy 3.37, 4 Gd 3.37, 4 Pa 3.40


[10]
Material: GdDy2Pa
Method: DFT, PBE
State: relaxed

Calculated formation energy: 0.22 eV per atom
VASP energy: -31.902 eV/cell

Cell: 4.8992 4.8992 4.9290 Å, 90.00 90.00 90.00°
With the nearest neighbours (Å) after each atom.
Space group P4/mmm (No. 123)
Unique sites:
Gd1 0.0000 0.0000 0.0000 x1  4 Pa 3.46, 8 Dy 3.47
Dy1 0.0000 0.5000 0.5000 x2  4 Dy 3.46, 4 Gd 3.47, 4 Pa 3.47
Pa1 0.5000 0.5000 0.0000 x1  4 Gd 3.46, 8 Dy 3.47


[11]
Material: GdDyPuPa
Method: DFT, PBE
State: relaxed

Calculated formation energy: 0.30 eV per atom
VASP energy: -165.195 eV/cell

Cell: 7.6973 7.6973 7.6973 Å, 90.00 90.00 90.00°
With the nearest neighbours (Å) after each atom.
Space group F-43m (No. 216)
Unique sites:
Gd1 0.0000 0.0000 0.0000 x4  4 Dy 3.33, 4 Pa 3.33
Dy1 0.2500 0.2500 0.7500 x4  4 Gd 3.33, 4 Pu 3.33
Pu1 0.0000 0.0000 0.5000 x4  4 Pa 3.33, 4 Dy 3.33
Pa1 0.2500 0.2500 0.2500 x4  4 Gd 3.33, 4 Pu 3.33


[12]
Material: GdDyScPa
Method: DFT, PBE
State: relaxed

Calculated formation energy: 0.30 eV per atom
VASP energy: -133.166 eV/cell

Cell: 7.6939 7.6939 7.6939 Å, 90.00 90.00 90.00°
With the nearest neighbours (Å) after each atom.
Space group F-43m (No. 216)
Unique sites:
Gd1 0.0000 0.0000 0.0000 x4  4 Dy 3.33, 4 Sc 3.33
Dy1 0.2500 0.2500 0.7500 x4  4 Gd 3.33, 4 Pa 3.33
Sc1 0.2500 0.2500 0.2500 x4  4 Gd 3.33, 4 Pa 3.33
Pa1 0.0000 0.0000 0.5000 x4  4 Dy 3.33, 4 Sc 3.33


Question: Look up the VASP energy of the seventh one.
Answer: -32.278 eV/cell